[1]
Material: KPrTeI
Method: DFT, PBE
State: optimized geometry

The structure in POSCAR format:
```
KPrTeI
1.0
4.512 0.000 -0.001
-2.256 3.908 0.000
-2.256 -1.303 8.724
K Pr Te I
1 1 1 1
direct
0.485 0.140 0.641
0.123 0.959 0.098
0.318 0.557 0.891
0.951 0.374 0.340
```

Values from the calculation:
N(E_F) = 2.6 states/eV/cell
Space-group type = R3m
Electronic total energy = -3.88 eV/atom



[2]
Material: BaZnNiRh2
Method: DFT, PBE
State: optimized geometry

The structure in POSCAR format:
```
BaZnNiRh2
1.0
-2.151 -1.916 -3.820
-3.341 -1.573 2.670
-2.441 4.061 -0.662
Ni Zn Rh Ba
1 1 2 1
direct
0.000 0.500 0.000
0.000 0.000 0.000
0.000 0.000 0.500
0.500 0.000 0.000
0.500 0.500 0.500
```

Values from the calculation:
ΔE_f = 340.9 meV/atom
N(E_F) = 7.8 states/eV/cell
Space-group type = P4/mmm
Electronic total energy = -4.40 eV/atom



[3]
Material: PuCl3F
Method: DFT, PBE
State: optimized geometry

The structure in POSCAR format:
```
PuCl3F
1.0
8.647 0.000 0.000
0.000 7.751 -0.725
0.000 -0.999 12.595
Pu Cl F
4 12 4
direct
0.851 0.904 0.875
0.149 0.904 0.375
0.851 0.096 0.625
0.149 0.096 0.125
0.876 0.399 0.590
0.124 0.399 0.090
0.435 0.882 0.370
0.155 0.951 0.914
0.565 0.882 0.870
0.124 0.601 0.410
0.155 0.049 0.586
0.435 0.118 0.130
0.845 0.049 0.086
0.565 0.118 0.630
0.876 0.601 0.910
0.845 0.951 0.414
0.859 0.847 0.693
0.859 0.153 0.807
0.141 0.847 0.193
0.141 0.153 0.307
```

Values from the calculation:
Offset from the most stable computed form = 0.020 eV per atom
N(E_F) = 38.2 states/eV/cell
Space-group type = P2/c
Electronic total energy = -6.39 eV/atom



[4]
Material: LaZrVN3
Method: DFT, PBE
State: optimized geometry

The structure in POSCAR format:
```
LaZrVN3
1.0
3.377 0.000 0.000
0.000 7.227 0.495
0.000 -2.268 7.292
La Zr V N
2 2 2 6
direct
0.750 0.813 0.811
0.250 0.187 0.189
0.250 0.644 0.147
0.750 0.356 0.853
0.250 0.094 0.605
0.750 0.906 0.395
0.250 0.823 0.473
0.750 0.876 0.145
0.750 0.434 0.147
0.750 0.177 0.527
0.250 0.566 0.853
0.250 0.124 0.855
```

Values from the calculation:
N(E_F) = 5.8 states/eV/cell
Space-group type = P2_1/m
Electronic total energy = -9.17 eV/atom



[5]
Material: Bi2PtRh
Method: DFT, PBE
State: optimized geometry

The structure in POSCAR format:
```
Bi2PtRh
1.0
-2.360 1.804 5.973
1.674 -5.969 2.465
4.191 -0.294 5.470
Rh Bi Pt
2 4 2
direct
0.500 0.500 0.000
0.250 0.750 0.500
0.618 0.125 0.250
0.132 0.625 0.250
0.375 0.382 0.750
0.875 0.868 0.750
0.000 0.000 0.000
0.750 0.250 0.500
```

Values from the calculation:
ΔE_f = 176.6 meV/atom
N(E_F) = 4.4 states/eV/cell
Space-group type = I-42d
Electronic total energy = -5.11 eV/atom



[6]
Material: CaNbO4
Method: DFT, PBE
State: optimized geometry

The structure in POSCAR format:
```
CaNbO4
1.0
5.110 0.340 -1.949
-1.305 5.134 -0.832
-1.007 0.193 6.918
Ca Nb O
2 2 8
direct
0.840 0.704 0.766
0.160 0.296 0.234
0.432 0.229 0.850
0.568 0.771 0.150
0.539 0.674 0.384
0.707 0.997 0.959
0.060 0.990 0.616
0.769 0.515 0.073
0.461 0.326 0.616
0.940 0.010 0.384
0.293 0.003 0.041
0.231 0.485 0.927
```

Values from the calculation:
N(E_F) = 0.0 states/eV/cell
Space-group type = P-1
Electronic total energy = -7.90 eV/atom



[7]
Material: CdAg2Hg
Method: DFT, PBE
State: optimized geometry

The structure in POSCAR format:
```
CdAg2Hg
1.0
3.069 0.040 0.000
-0.039 3.069 0.000
0.000 0.000 8.566
Hg Ag Cd
1 2 1
direct
0.500 0.500 0.763
0.000 0.000 0.014
0.500 0.500 0.242
0.000 0.000 0.481
```

Values from the calculation:
ΔE_f = 21.8 meV/atom
Offset from the most stable computed form = 0.015 eV per atom
N(E_F) = 0.7 states/eV/cell
Space-group type = P4mm
Electronic total energy = -1.71 eV/atom



[8]
Material: Tm8Ge3BiTe4
Method: DFT, PBE
State: optimized geometry

The structure in POSCAR format:
```
Tm8Ge3BiTe4
1.0
8.498 0.000 0.000
0.000 8.564 0.041
-4.249 -4.245 6.012
Tm Ge Bi Te
8 3 1 4
direct
0.249 0.724 0.975
0.249 0.724 0.498
0.261 0.282 0.522
0.725 0.724 0.975
0.275 0.276 0.025
0.739 0.718 0.478
0.751 0.276 0.502
0.751 0.276 0.025
0.500 0.500 0.000
0.500 0.500 0.500
0.000 0.500 0.500
0.000 0.500 0.000
0.500 0.000 0.000
0.500 0.000 0.500
0.000 0.000 0.000
0.000 0.000 0.500
```

Values from the calculation:
N(E_F) = 3.2 states/eV/cell
Space-group type = R-3m
Electronic total energy = -5.24 eV/atom



Repeat the eighth record exactly.
Material: Tm8Ge3BiTe4
Method: DFT, PBE
State: optimized geometry

The structure in POSCAR format:
```
Tm8Ge3BiTe4
1.0
8.498 0.000 0.000
0.000 8.564 0.041
-4.249 -4.245 6.012
Tm Ge Bi Te
8 3 1 4
direct
0.249 0.724 0.975
0.249 0.724 0.498
0.261 0.282 0.522
0.725 0.724 0.975
0.275 0.276 0.025
0.739 0.718 0.478
0.751 0.276 0.502
0.751 0.276 0.025
0.500 0.500 0.000
0.500 0.500 0.500
0.000 0.500 0.500
0.000 0.500 0.000
0.500 0.000 0.000
0.500 0.000 0.500
0.000 0.000 0.000
0.000 0.000 0.500
```

Values from the calculation:
N(E_F) = 3.2 states/eV/cell
Space-group type = R-3m
Electronic total energy = -5.24 eV/atom



What is the formula in the third record?
PuCl3F